No. 1
The following is a PBE calculation of crystalline Cd2SiAg at its relaxed geometry, from the Alexandria database.

The space group is P4/mmm (No. 123) and the conventional cell measures 4.839, 4.839 and 3.391 Å, with angles of 90.00, 90.00 and 90.00 degrees. The asymmetric unit holds Cd at (0.000, 0.500, 0.000), Si at (0.000, 0.000, 0.500) and Ag at (0.500, 0.500, 0.500).

The uncorrected formation energy is 267.1 meV/atom.

***

No. 2
The following is a PBE calculation of crystalline Rb2SnHgI4 at its relaxed geometry, from the Alexandria database.

The space group is C2/m (No. 12) and the conventional cell measures 15.653, 4.917 and 10.076 Å, with angles of 90.00, 109.34 and 90.00 degrees. The asymmetric unit holds Rb at (0.202, 0.000, 0.211), Sn at (0.000, 0.000, 0.500), Hg at (0.000, 0.500, 0.000), I at (0.117, 0.500, 0.431) and I at (0.132, 0.000, 0.817).

The uncorrected formation energy is -901.0 meV/atom.

***

No. 3
The following is a PBE calculation of crystalline ThP2Rh3 at its relaxed geometry, from the Alexandria database.

The space group is C2/m (No. 12) and the conventional cell measures 16.070, 3.949 and 9.744 Å, with angles of 90.00, 108.37 and 90.00 degrees. The asymmetric unit holds Th at (0.000, 0.000, 0.000), Th at (0.154, 0.000, 0.694), P at (0.037, 0.500, 0.778), P at (0.136, 0.500, 0.447), P at (0.199, 0.000, 0.131), Rh at (0.000, 0.500, 0.500), Rh at (0.045, 0.000, 0.334), Rh at (0.125, 0.500, 0.203), Rh at (0.178, 0.500, 0.956) and Rh at (0.226, 0.000, 0.391).

For the formation energy, the calculation gives -620.5 kJ/mol of formula units.

***

No. 4
The following is a PBE calculation of crystalline Li5Zn3Ag3 at its relaxed geometry, from the Alexandria database.

The space group is P-62m (No. 189) and the conventional cell measures 9.0512, 9.0512 and 2.8169 Å, with angles of 90.00, 90.00 and 120.00 degrees. The asymmetric unit holds Li at (0.0000, 0.3358, 0.0000), Li at (0.3333, 0.6667, 0.0000), Zn at (0.0000, 0.8369, 0.0000) and Ag at (0.0000, 0.5886, 0.5000).

For the formation energy, the calculation gives -65.2 kJ/mol of formula units.

***

No. 5
The following is a PBE calculation of crystalline CsKTeS3 at its relaxed geometry, from the Alexandria database.

The space group is Cmcm (No. 63) and the conventional cell measures 5.164, 14.418 and 12.730 Å, with angles of 90.00, 90.00 and 90.00 degrees. The asymmetric unit holds Cs at (0.000, 0.243, 0.250), K at (0.000, 0.000, 0.000), Te at (0.000, 0.477, 0.750), S at (0.000, 0.026, 0.750) and S at (0.000, 0.377, 0.603).

The uncorrected formation energy is -710.5 meV/atom.

***

No. 6
The following is a PBE calculation of crystalline GaGe2Se4 at its relaxed geometry, from the Alexandria database.

The space group is I4/m (No. 87) and the conventional cell measures 8.011, 8.011 and 6.277 Å, with angles of 90.00, 90.00 and 90.00 degrees. The asymmetric unit holds Ga at (0.000, 0.000, 0.000), Ge at (0.000, 0.500, 0.250) and Se at (0.153, 0.683, 0.500).

The uncorrected formation energy is -165.1 meV/atom.

***

No. 7
The following is a PBE calculation of crystalline Sr2LiCdIr at its relaxed geometry, from the Alexandria database.

The space group is P4/mmm (No. 123) and the conventional cell measures 5.765, 5.765 and 5.329 Å, with angles of 90.00, 90.00 and 90.00 degrees. The asymmetric unit holds Sr at (0.000, 0.500, 0.000), Li at (0.000, 0.000, 0.500), Cd at (0.500, 0.500, 0.500) and Ir at (0.500, 0.500, 0.000).

For the formation energy, the calculation gives -14.4 kJ/mol of formula units.

***

No. 8
The following is a PBE calculation of crystalline Li2Cd2F at its relaxed geometry, from the Alexandria database.

The space group is P4/mbm (No. 127) and the conventional cell measures 5.595, 5.595 and 6.044 Å, with angles of 90.00, 90.00 and 90.00 degrees. The asymmetric unit holds Li at (0.221, 0.279, 0.000), Cd at (0.178, 0.678, 0.500) and F at (0.000, 0.000, 0.000).

For the energy above the most stable polymorph in this dataset, the calculation gives 0.00 eV per formula unit. The uncorrected formation energy is -992.9 meV/atom.